Arrangement w

Material: Co3WS
Method: DFT, GGA-PBE
State: relaxed

Summary:
Crystal system: cubic
SG: Pm-3m (221)

Cell: 4.484 4.484 4.484 Å, 90.00 90.00 90.00°
Site moments in Bohr magnetons follow the coordinates.
Fractional coordinates of all 5 atoms:
1 Co 0.000 0.500 0.000  0.79
2 Co 0.000 0.000 0.500  0.81
3 Co 0.500 0.000 0.000  0.51
4 W 0.000 0.000 0.000  -0.19
5 S 0.500 0.500 0.500  0.13

Arrangement x

Material: Co3WS
Method: DFT, GGA-PBE
State: relaxed

Summary:
Crystal system: cubic
SG: Pm-3m (221)

Cell: 4.067 4.067 4.067 Å, 90.00 90.00 90.00°
Site moments in Bohr magnetons follow the coordinates.
Fractional coordinates of all 5 atoms:
1 Co 0.000 0.500 0.000  0.96
2 Co 0.500 0.000 0.000  1.26
3 Co 0.000 0.000 0.500  0.74
4 W 0.500 0.500 0.500  1.38
5 S 0.000 0.000 0.000  0.09

Tell me which of them is the most stable. Sure, it is arrangement x.

Arrangement w

Material: CoWS3
Method: DFT, GGA-PBE
State: relaxed

Summary:
Crystal system: cubic
SG: Pm-3m (221)

Cell: 4.269 4.269 4.269 Å, 90.00 90.00 90.00°
Fractional coordinates of all 5 atoms:
1 S 0.000 0.000 0.500
2 S 0.000 0.500 0.000
3 S 0.500 0.000 0.000
4 W 0.500 0.500 0.500
5 Co 0.000 0.000 0.000

Arrangement x

Material: CoWS3
Method: DFT, GGA-PBE
State: relaxed

Summary:
Crystal system: cubic
SG: Pm-3m (221)

Cell: 4.667 4.667 4.667 Å, 90.00 90.00 90.00°
Site moments in Bohr magnetons follow the coordinates.
Fractional coordinates of all 5 atoms:
1 W 0.000 0.000 0.000  -0.12
2 Co 0.500 0.500 0.500  2.15
3 S 0.000 0.500 0.000  0.09
4 S 0.000 0.000 0.500  0.06
5 S 0.500 0.000 0.000  0.06

Tell me which of them is the most stable. Sure, it is arrangement x.

Arrangement w

Material: YCoS2
Method: DFT, GGA-PBE
State: relaxed

Summary:
Crystal system: cubic
SG: Fm-3m (225)

Cell: 4.596 4.596 4.596 Å, 60.00 60.00 60.00°
Site moments in Bohr magnetons follow the coordinates.
Fractional coordinates of all 4 atoms:
1 S 0.750 0.750 0.750  0.10
2 S 0.250 0.250 0.250  0.10
3 Y 0.500 0.500 0.500  -0.02
4 Co 0.000 0.000 0.000  1.79

Arrangement x

Material: YCoS2
Method: DFT, GGA-PBE
State: relaxed

Summary:
Crystal system: trigonal
SG: R-3m (166)

Cell: 7.532 7.532 7.532 Å, 31.33 31.33 31.33°
Site moments in Bohr magnetons follow the coordinates.
Fractional coordinates of all 4 atoms:
1 S 0.899 0.899 0.899  0.02
2 S 0.101 0.101 0.101  0.02
3 Co 0.000 0.000 0.000  1.93
4 Y 0.500 0.500 0.500  0.00

Arrangement y

Material: YCoS2
Method: DFT, GGA-PBE
State: relaxed

Summary:
Crystal system: tetragonal
SG: I-42d (122)

Cell: 5.439 5.439 7.117 Å, 67.54 67.54 90.00°
Site moments in Bohr magnetons follow the coordinates.
Fractional coordinates of all 8 atoms:
1 Y 0.000 0.000 0.000  0.00
2 Y 0.750 0.250 0.500  0.01
3 S 0.182 0.625 0.250  0.08
4 S 0.375 0.432 0.750  0.07
5 S 0.875 0.818 0.750  0.07
6 S 0.568 0.125 0.250  0.08
7 Co 0.500 0.500 0.000  1.76
8 Co 0.250 0.750 0.500  1.78

Tell me which of them is the most stable. Sure, it is arrangement y.

Arrangement w

Material: YCo3S
Method: DFT, GGA-PBE
State: relaxed

Summary:
Crystal system: cubic
SG: Pm-3m (221)

Cell: 4.719 4.719 4.719 Å, 90.00 90.00 90.00°
Site moments in Bohr magnetons follow the coordinates.
Fractional coordinates of all 5 atoms:
1 S 0.500 0.500 0.500  0.12
2 Co 0.000 0.500 0.000  1.30
3 Co 0.500 0.000 0.000  1.45
4 Co 0.000 0.000 0.500  1.24
5 Y 0.000 0.000 0.000  -0.29

Arrangement x

Material: YCo3S
Method: DFT, GGA-PBE
State: relaxed

Summary:
Crystal system: cubic
SG: Pm-3m (221)

Cell: 4.209 4.209 4.209 Å, 90.00 90.00 90.00°
Site moments in Bohr magnetons follow the coordinates.
Fractional coordinates of all 5 atoms:
1 Y 0.500 0.500 0.500  -0.14
2 S 0.000 0.000 0.000  0.06
3 Co 0.500 0.000 0.000  1.07
4 Co 0.000 0.000 0.500  0.52
5 Co 0.000 0.500 0.000  0.83

Tell me which of them is the most stable. Sure, it is arrangement x.

Arrangement w

Material: ZnCo2S4
Method: DFT, GGA-PBE
State: relaxed

Summary:
Crystal system: cubic
SG: Fd-3m (227)

Cell: 6.811 6.811 6.811 Å, 60.00 60.00 60.00°
Fractional coordinates of all 14 atoms:
1 S 0.859 0.423 0.859
2 S 0.859 0.859 0.859
3 S 0.391 0.391 0.391
4 S 0.423 0.859 0.859
5 S 0.859 0.859 0.423
6 S 0.827 0.391 0.391
7 S 0.391 0.827 0.391
8 S 0.391 0.391 0.827
9 Co 0.625 0.625 0.625
10 Co 0.625 0.625 0.125
11 Co 0.125 0.625 0.625
12 Co 0.625 0.125 0.625
13 Zn 0.000 0.000 0.000
14 Zn 0.250 0.250 0.250

Arrangement x

Material: ZnCo2S4
Method: DFT, GGA-PBE
State: relaxed

Summary:
Crystal system: orthorhombic
SG: Imma (74)

Cell: 6.791 6.791 6.791 Å, 119.46 118.73 91.57°
Fractional coordinates of all 14 atoms:
1 Co 0.000 0.000 0.500
2 Co 0.500 0.000 0.500
3 Co 0.000 0.500 0.000
4 Co 0.000 0.000 0.000
5 S 0.765 0.236 0.971
6 S 0.235 0.764 0.029
7 S 0.235 0.206 0.471
8 S 0.208 0.244 0.964
9 S 0.780 0.244 0.536
10 S 0.220 0.756 0.464
11 S 0.792 0.756 0.036
12 S 0.765 0.794 0.529
13 Zn 0.000 0.500 0.500
14 Zn 0.500 0.500 0.000

Tell me which of them is the most stable. Sure, it is arrangement w.

Arrangement w

Material: Zr2CoS2
Method: DFT, GGA-PBE
State: relaxed

Summary:
Crystal system: tetragonal
SG: I4/mmm (139)

Cell: 4.156 4.156 6.698 Å, 71.93 71.93 90.00°
Site moments in Bohr magnetons follow the coordinates.
Fractional coordinates of all 5 atoms:
1 Zr 0.626 0.626 0.748  -0.11
2 Zr 0.374 0.374 0.252  -0.11
3 S 0.250 0.750 0.500  -0.01
4 S 0.750 0.250 0.500  -0.01
5 Co 0.000 0.000 0.000  1.75

Arrangement x

Material: Zr2CoS2
Method: DFT, GGA-PBE
State: relaxed

Summary:
Crystal system: tetragonal
SG: P4/mbm (127)

Cell: 6.885 6.885 3.384 Å, 90.00 90.00 90.00°
Site moments in Bohr magnetons follow the coordinates.
Fractional coordinates of all 10 atoms:
1 Zr 0.842 0.342 0.500  -0.05
2 Zr 0.658 0.842 0.500  -0.04
3 Zr 0.342 0.158 0.500  -0.05
4 Zr 0.158 0.658 0.500  -0.05
5 Co 0.000 0.000 0.000  0.94
6 Co 0.500 0.500 0.000  0.96
7 S 0.148 0.352 0.000  0.01
8 S 0.852 0.648 0.000  0.01
9 S 0.648 0.148 0.000  0.01
10 S 0.352 0.852 0.000  0.01

Tell me which of them is the most stable. Sure, it is arrangement x.

Arrangement w

Material: ScCo2Sb2
Method: DFT, GGA-PBE
State: relaxed

Summary:
Crystal system: tetragonal
SG: I4/mmm (139)

Cell: 4.127 4.127 6.206 Å, 70.58 70.58 90.00°
Site moments in Bohr magnetons follow the coordinates.
Fractional coordinates of all 5 atoms:
1 Co 0.250 0.750 0.500  0.67
2 Co 0.750 0.250 0.500  0.67
3 Sc 0.000 0.000 0.000  0.07
4 Sb 0.629 0.629 0.743  -0.01
5 Sb 0.371 0.371 0.257  -0.01

Arrangement x

Material: ScCo2Sb2
Method: DFT, GGA-PBE
State: relaxed

Summary:
Crystal system: tetragonal
SG: I4/mmm (139)

Cell: 4.599 4.599 5.427 Å, 64.93 64.93 90.00°
Fractional coordinates of all 5 atoms:
1 Co 0.631 0.631 0.738
2 Co 0.369 0.369 0.262
3 Sb 0.750 0.250 0.500
4 Sb 0.250 0.750 0.500
5 Sc 0.000 0.000 0.000

Arrangement y

Material: ScCo2Sb2
Method: DFT, GGA-PBE
State: relaxed

Summary:
Crystal system: tetragonal
SG: P4/mbm (127)

Cell: 7.157 7.157 3.399 Å, 90.00 90.00 90.00°
Site moments in Bohr magnetons follow the coordinates.
Fractional coordinates of all 10 atoms:
1 Co 0.621 0.121 0.000  0.71
2 Co 0.121 0.379 0.000  0.72
3 Co 0.379 0.879 0.000  0.71
4 Co 0.879 0.621 0.000  0.72
5 Sb 0.672 0.828 0.500  0.01
6 Sb 0.172 0.672 0.500  0.00
7 Sb 0.828 0.328 0.500  0.00
8 Sb 0.328 0.172 0.500  0.01
9 Sc 0.500 0.500 0.000  0.07
10 Sc 0.000 0.000 0.000  0.07

Tell me which of them is the most stable. Sure, it is arrangement w.

Arrangement w

Material: CoSb3Se
Method: DFT, GGA-PBE
State: relaxed

Summary:
Crystal system: cubic
SG: Pm-3m (221)

Cell: 5.357 5.357 5.357 Å, 90.00 90.00 90.00°
Site moments in Bohr magnetons follow the coordinates.
Fractional coordinates of all 5 atoms:
1 Se 0.000 0.000 0.000  -0.02
2 Sb 0.500 0.000 0.000  -0.07
3 Sb 0.000 0.500 0.000  -0.05
4 Sb 0.000 0.000 0.500  -0.04
5 Co 0.500 0.500 0.500  2.13

Arrangement x

Material: CoSb3Se
Method: DFT, GGA-PBE
State: relaxed

Summary:
Crystal system: monoclinic
SG: P2_1/c (14)

Cell: 6.522 10.002 8.760 Å, 122.04 90.00 90.00°
Fractional coordinates of all 20 atoms:
1 Sb 0.930 0.749 0.377
2 Sb 0.412 0.146 0.191
3 Sb 0.570 0.249 0.877
4 Sb 0.893 0.920 0.094
5 Sb 0.088 0.646 0.691
6 Sb 0.588 0.854 0.809
7 Sb 0.107 0.080 0.906
8 Sb 0.607 0.420 0.594
9 Sb 0.912 0.354 0.309
10 Sb 0.070 0.251 0.623
11 Sb 0.393 0.580 0.406
12 Sb 0.430 0.751 0.123
13 Co 0.255 0.868 0.968
14 Co 0.745 0.132 0.032
15 Co 0.245 0.368 0.468
16 Co 0.755 0.632 0.532
17 Se 0.245 0.963 0.561
18 Se 0.745 0.537 0.939
19 Se 0.255 0.463 0.061
20 Se 0.755 0.037 0.439

Tell me which of them is the most stable. Sure, it is arrangement x.

Arrangement w

Material: Co3SbSe
Method: DFT, GGA-PBE
State: relaxed

Summary:
Crystal system: cubic
SG: Pm-3m (221)

Cell: 4.695 4.695 4.695 Å, 90.00 90.00 90.00°
Site moments in Bohr magnetons follow the coordinates.
Fractional coordinates of all 5 atoms:
1 Co 0.000 0.500 0.000  1.05
2 Co 0.500 0.000 0.000  1.20
3 Co 0.000 0.000 0.500  0.92
4 Se 0.500 0.500 0.500  0.04
5 Sb 0.000 0.000 0.000  -0.06

Arrangement x

Material: Co3SbSe
Method: DFT, GGA-PBE
State: relaxed

Summary:
Crystal system: cubic
SG: Pm-3m (221)

Cell: 4.383 4.383 4.383 Å, 90.00 90.00 90.00°
Site moments in Bohr magnetons follow the coordinates.
Fractional coordinates of all 5 atoms:
1 Co 0.000 0.500 0.000  0.83
2 Co 0.000 0.000 0.500  0.48
3 Co 0.500 0.000 0.000  0.89
4 Sb 0.500 0.500 0.500  -0.06
5 Se 0.000 0.000 0.000  0.01

Tell me which of them is the most stable. Sure, it is arrangement x.

Arrangement w

Material: Co2SiSb
Method: DFT, GGA-PBE
State: relaxed

Summary:
Crystal system: monoclinic
SG: C2/m (12)

Cell: 4.085 6.622 3.254 Å, 60.75 89.87 128.02°
Site moments in Bohr magnetons follow the coordinates.
Fractional coordinates of all 4 atoms:
1 Sb 0.500 0.500 0.000  0.00
2 Co 0.000 0.500 0.500  0.45
3 Co 0.000 0.000 0.000  0.45
4 Si 0.500 0.000 0.500  0.00

Arrangement x

Material: Co2SiSb
Method: DFT, GGA-PBE
State: relaxed

Summary:
Crystal system: orthorhombic
SG: Pmmm (47)

Cell: 2.880 2.874 6.949 Å, 90.00 90.00 90.00°
Fractional coordinates of all 4 atoms:
1 Co 0.000 0.250 0.569
2 Co 0.000 0.250 0.931
3 Si 0.500 0.750 0.750
4 Sb 0.500 0.250 0.250

Tell me which of them is the most stable. Sure, it is arrangement x.

Arrangement w

Material: Co2SiSb
Method: DFT, GGA-PBE
State: relaxed

Summary:
Crystal system: monoclinic
SG: C2/m (12)

Cell: 3.738 3.738 6.058 Å, 76.49 76.49 45.94°
Site moments in Bohr magnetons follow the coordinates.
Fractional coordinates of all 4 atoms:
1 Co 0.999 0.999 0.065  0.31
2 Co 0.501 0.501 0.435  0.31
3 Si 0.250 0.250 0.250  -0.01
4 Sb 0.750 0.750 0.750  0.01

Arrangement x

Material: Co2SiSb
Method: DFT, GGA-PBE
State: relaxed

Summary:
Crystal system: cubic
SG: Fm-3m (225)

Cell: 4.237 4.237 4.237 Å, 60.00 60.00 60.00°
Fractional coordinates of all 4 atoms:
1 Co 0.750 0.750 0.750
2 Co 0.250 0.250 0.250
3 Si 0.000 0.000 0.000
4 Sb 0.500 0.500 0.500

Arrangement y

Material: Co2SiSb
Method: DFT, GGA-PBE
State: relaxed

Summary:
Crystal system: tetragonal
SG: I-42d (122)

Cell: 3.999 3.999 8.275 Å, 76.02 76.02 90.00°
Fractional coordinates of all 8 atoms:
1 Si 0.250 0.750 0.500
2 Si 0.500 0.500 0.000
3 Co 0.875 0.833 0.750
4 Co 0.167 0.625 0.250
5 Co 0.375 0.417 0.750
6 Co 0.583 0.125 0.250
7 Sb 0.750 0.250 0.500
8 Sb 0.000 0.000 0.000

Tell me which of them is the most stable. Sure, it is arrangement w.